[1]
5
Lattice="-1.094 -2.490 3.397 4.123 -1.347 0.340 0.857 3.304 2.698" Properties=species:S:1:pos:R:3 comment="Ni3PtW SCAN PBEsol geometry" energy_ev_per_cell=-180.19 sg=Pm-3m e_form_kj_per_mol_fu=792 magmom_total_mub_per_fu=0.00 pbc="T T T"
Ni 0.428 1.652 1.349
Ni 2.062 -0.674 0.170
Ni -0.547 -1.245 1.698
W 0.000 0.000 0.000
Pt 1.943 -0.266 3.217


[2]
4
Lattice="2.721 0.000 0.019 0.000 3.851 0.000 -0.035 0.000 5.325" Properties=species:S:1:pos:R:3 comment="NiPt2W SCAN PBEsol geometry" energy_ev_per_cell=-227.33 sg=Pmmm e_form_kj_per_mol_fu=-104 e_above_lowest_polymorph_ev_per_atom=0.019 magmom_total_mub_per_fu=0.00 pbc="T T T"
W 1.361 1.925 0.009
Pt -0.026 0.000 3.975
Pt 2.712 0.000 1.369
Ni 1.343 1.925 2.672


[3]
4
Lattice="2.679 0.000 0.000 0.000 3.720 0.000 0.000 0.000 5.163" Properties=species:S:1:pos:R:3 comment="Ni2PtW SCAN PBEsol geometry" energy_ev_per_cell=-172.74 sg=Pmm2 e_form_kj_per_mol_fu=-50 e_above_lowest_polymorph_ev_per_atom=0.076 magmom_total_mub_per_fu=0.00 pbc="T T T"
Ni 0.000 1.860 1.194
Ni 1.339 0.000 0.034
Pt 1.339 0.000 2.555
W 0.000 1.860 3.962


[4]
4
Lattice="2.729 0.000 0.000 0.000 3.808 0.000 0.000 0.000 5.398" Properties=species:S:1:pos:R:3 comment="NiPt2W SCAN PBEsol geometry" energy_ev_per_cell=-226.99 sg=Pmm2 e_form_kj_per_mol_fu=-72 e_above_lowest_polymorph_ev_per_atom=0.103 magmom_total_mub_per_fu=0.00 pbc="T T T"
Pt 1.364 1.904 1.421
Pt 0.000 0.000 5.296
Ni 1.364 1.904 4.017
W 0.000 0.000 2.761


[5]
4
Lattice="2.718 0.000 0.000 -1.359 4.476 -0.015 0.000 -0.823 4.621" Properties=species:S:1:pos:R:3 comment="NiPt2W SCAN PBEsol geometry" energy_ev_per_cell=-227.02 sg=Cm e_form_kj_per_mol_fu=-75 e_above_lowest_polymorph_ev_per_atom=0.095 magmom_total_mub_per_fu=0.00 pbc="T T T"
Ni 1.359 2.053 1.157
W 0.000 4.032 2.293
Pt 0.000 0.018 0.069
Pt 0.000 1.614 3.382


[6]
4
Lattice="-0.506 2.604 0.340 -3.096 -0.998 3.042 3.826 -0.938 2.354" Properties=species:S:1:pos:R:3 comment="Ni2PtW SCAN PBEsol geometry" energy_ev_per_cell=-172.55 sg=Cm e_form_kj_per_mol_fu=-31 e_above_lowest_polymorph_ev_per_atom=0.124 magmom_total_mub_per_fu=0.00 pbc="T T T"
Ni 0.214 0.669 5.711
Ni -0.540 -0.574 3.588
Pt -1.792 0.801 1.715
W 0.767 1.242 2.147


[7]
4
Lattice="4.154 0.000 0.000 2.077 3.598 0.000 2.077 1.199 3.392" Properties=species:S:1:pos:R:3 comment="Ni2PtW SCAN PBEsol geometry" energy_ev_per_cell=-172.39 sg=Fm-3m e_form_kj_per_mol_fu=-16 e_above_lowest_polymorph_ev_per_atom=0.163 magmom_total_mub_per_fu=0.00 pbc="T T T"
Ni 2.077 1.199 0.848
Ni 6.231 3.598 2.544
Pt 4.154 2.398 1.696
W 0.000 0.000 0.000


[8]
4
Lattice="3.736 0.000 0.000 0.000 3.736 0.000 -1.868 -1.868 3.658" Properties=species:S:1:pos:R:3 comment="Ni2PtW SCAN PBEsol geometry" energy_ev_per_cell=-172.74 sg=I4/mmm e_form_kj_per_mol_fu=-50 e_above_lowest_polymorph_ev_per_atom=0.075 magmom_total_mub_per_fu=0.00 pbc="T T T"
Ni 0.000 1.868 1.829
Ni 1.868 0.000 1.829
Pt 0.000 0.000 0.000
W 1.868 1.868 0.000


[9]
4
Lattice="-1.955 2.627 1.900 1.055 -1.582 3.274 3.587 1.749 -2.500" Properties=species:S:1:pos:R:3 comment="NiPt2W SCAN PBEsol geometry" energy_ev_per_cell=-227.40 sg=I4/mmm e_form_kj_per_mol_fu=-111 e_above_lowest_polymorph_ev_per_atom=0.000 magmom_total_mub_per_fu=0.00 pbc="T T T"
Ni -0.450 0.522 2.587
W 0.000 0.000 0.000
Pt 2.096 0.344 1.680
Pt 0.591 2.449 0.993


[10]
4
Lattice="-2.402 -2.607 2.509 1.909 -3.105 2.361 0.191 0.368 4.323" Properties=species:S:1:pos:R:3 comment="NiPtW2 SCAN PBEsol geometry" energy_ev_per_cell=-224.02 sg=Fm-3m e_form_kj_per_mol_fu=166 e_above_lowest_polymorph_ev_per_atom=0.547 magmom_total_mub_per_fu=0.00 pbc="T T T"
Ni 0.000 0.000 0.000
W -0.226 -4.008 6.895
W -0.075 -1.336 2.298
Pt -0.151 -2.672 4.597


[11]
4
Lattice="3.746 0.000 0.000 0.000 3.746 0.000 -1.873 -1.873 4.022" Properties=species:S:1:pos:R:3 comment="NiPtW2 SCAN PBEsol geometry" energy_ev_per_cell=-226.12 sg=I4/mmm e_form_kj_per_mol_fu=-37 e_above_lowest_polymorph_ev_per_atom=0.022 magmom_total_mub_per_fu=0.00 pbc="T T T"
Pt 1.873 1.873 0.000
W 1.873 0.000 2.011
W 0.000 1.873 2.011
Ni 0.000 0.000 0.000


[12]
10
Lattice="3.690 0.000 0.000 0.000 6.895 0.000 0.000 0.000 6.895" Properties=species:S:1:pos:R:3 comment="Y2Ni2Pt SCAN PBEsol geometry" energy_ev_per_cell=-323.69 sg=P4/mbm e_form_kj_per_mol_fu=-349 magmom_total_mub_per_fu=0.00 pbc="T T T"
Y 1.845 2.187 1.260
Y 1.845 5.635 2.187
Y 1.845 1.260 4.707
Y 1.845 4.707 5.635
Pt 0.000 0.000 0.000
Pt 0.000 3.447 3.447
Ni 0.000 2.621 6.068
Ni 0.000 6.068 4.274
Ni 0.000 4.274 0.827
Ni 0.000 0.827 2.621


[13]
6
Lattice="4.814 0.000 0.000 2.407 4.169 0.000 2.407 1.390 3.931" Properties=species:S:1:pos:R:3 comment="YNi4Pt SCAN PBEsol geometry" energy_ev_per_cell=-165.12 sg=F-43m e_form_kj_per_mol_fu=-230 magmom_total_mub_per_fu=2.02 pbc="T T T"
Ni 6.005 2.092 1.479
Ni 3.624 2.092 1.479
Ni 4.814 2.780 3.424
Ni 4.814 4.154 1.479
Y 0.000 0.000 0.000
Pt 7.221 4.169 2.948


[14]
3
Lattice="-1.616 2.757 -1.907 0.707 -2.031 -3.535 -3.523 -0.627 2.078" Properties=species:S:1:pos:R:3 comment="YNiPt SCAN PBEsol geometry" energy_ev_per_cell=-116.98 sg=P-6m2 e_form_kj_per_mol_fu=-268 magmom_total_mub_per_fu=0.55 pbc="T T T"
Y -1.511 -0.185 -2.618
Pt -2.113 -1.095 0.207
Ni 0.000 0.000 0.000